1.
# Li2ZnCu (PBE, relaxed)
# ΔH_f (0 K) in eV/atom: 0.059
# E_tot in eV per cell: -17.93
# Calculated volume in Å³ per atom: 14.51
data_Li2ZnCu
_chemical_formula_sum 'Li4 Zn2 Cu2'
_cell_length_a 2.5817
_cell_length_b 4.5413
_cell_length_c 9.9005
_cell_angle_alpha 90.00
_cell_angle_beta 90.00
_cell_angle_gamma 90.00
_space_group_name_H-M_alt 'I m m m'
_space_group_IT_number 71
_space_group_name_Hall '-I 2 2'
loop_
_atom_site_label
_atom_site_type_symbol
_atom_site_fract_x
_atom_site_fract_y
_atom_site_fract_z
Li1 Li 0.0000 0.0000 0.2414
Zn1 Zn 0.0000 0.0000 0.5000
Cu1 Cu 0.0000 0.0000 0.0000



2.
# LiZn4Cu (PBE, relaxed)
# ΔH_f (0 K) in eV/atom: -0.052
# Energy above the most stable polymorph in this dataset in eV per atom: 0.0560
# E_tot in eV per cell: -45.67
# Calculated volume in Å³ per atom: 14.78
data_LiZn4Cu
_chemical_formula_sum 'Li4 Zn16 Cu4'
_cell_length_a 7.0787
_cell_length_b 7.0787
_cell_length_c 7.0787
_cell_angle_alpha 90.00
_cell_angle_beta 90.00
_cell_angle_gamma 90.00
_space_group_name_H-M_alt 'F -4 3 m'
_space_group_IT_number 216
_space_group_name_Hall 'F -4 2 3'
loop_
_atom_site_label
_atom_site_type_symbol
_atom_site_fract_x
_atom_site_fract_y
_atom_site_fract_z
Li1 Li 0.0000 0.0000 0.0000
Zn1 Zn 0.1248 0.1248 0.6248
Cu1 Cu 0.2500 0.2500 0.2500



3.
# LiZn4Cu3 (PBE, relaxed)
# ΔH_f (0 K) in eV/atom: -0.071
# Energy above the most stable polymorph in this dataset in eV per atom: 0.0544
# E_tot in eV per cell: -39.74
# Calculated volume in Å³ per atom: 13.48
data_LiZn4Cu3
_chemical_formula_sum 'Li2 Zn8 Cu6'
_cell_length_a 2.8241
_cell_length_b 4.2960
_cell_length_c 17.7756
_cell_angle_alpha 90.00
_cell_angle_beta 90.00
_cell_angle_gamma 90.00
_space_group_name_H-M_alt 'I m m m'
_space_group_IT_number 71
_space_group_name_Hall '-I 2 2'
loop_
_atom_site_label
_atom_site_type_symbol
_atom_site_fract_x
_atom_site_fract_y
_atom_site_fract_z
Li1 Li 0.0000 0.0000 0.0000
Zn1 Zn 0.0000 0.0000 0.2649
Zn2 Zn 0.0000 0.5000 0.3709
Cu1 Cu 0.0000 0.0000 0.5000
Cu2 Cu 0.0000 0.5000 0.1136



4.
# Li2ZnCu (PBE, relaxed)
# ΔH_f (0 K) in eV/atom: -0.074
# E_tot in eV per cell: -9.49
# Calculated volume in Å³ per atom: 14.45
data_Li2ZnCu
_chemical_formula_sum 'Li2 Zn1 Cu1'
_cell_length_a 3.1329
_cell_length_b 3.1329
_cell_length_c 5.8869
_cell_angle_alpha 90.00
_cell_angle_beta 90.00
_cell_angle_gamma 90.00
_space_group_name_H-M_alt 'P 4 m m'
_space_group_IT_number 99
_space_group_name_Hall 'P 4 -2'
loop_
_atom_site_label
_atom_site_type_symbol
_atom_site_fract_x
_atom_site_fract_y
_atom_site_fract_z
Li1 Li 0.0000 0.0000 0.0000
Li2 Li 0.5000 0.5000 0.2855
Zn1 Zn 0.0000 0.0000 0.5434
Cu1 Cu 0.5000 0.5000 0.7594



5.
# Li3ZnCu4 (PBE, relaxed)
# ΔH_f (0 K) in eV/atom: -0.063
# Energy above the most stable polymorph in this dataset in eV per atom: 0.0000
# E_tot in eV per cell: -47.81
# Calculated volume in Å³ per atom: 12.74
data_Li3ZnCu4
_chemical_formula_sum 'Li6 Zn2 Cu8'
_cell_length_a 5.3151
_cell_length_b 5.3902
_cell_length_c 7.1143
_cell_angle_alpha 90.00
_cell_angle_beta 90.00
_cell_angle_gamma 90.00
_space_group_name_H-M_alt 'P m n a'
_space_group_IT_number 53
_space_group_name_Hall '-P 2ac 2'
loop_
_atom_site_label
_atom_site_type_symbol
_atom_site_fract_x
_atom_site_fract_y
_atom_site_fract_z
Li1 Li 0.0000 0.0000 0.0000
Li2 Li 0.2500 0.2486 0.2500
Zn1 Zn 0.0000 0.5000 0.0000
Cu1 Cu 0.0000 0.0000 0.5000
Cu2 Cu 0.0000 0.5000 0.5000
Cu3 Cu 0.2500 0.2558 0.7500



6.
# Li12ZnCu2 (PBE, relaxed)
# ΔH_f (0 K) in eV/atom: 0.037
# E_tot in eV per cell: -31.88
# Calculated volume in Å³ per atom: 16.66
data_Li12ZnCu2
_chemical_formula_sum 'Li12 Zn1 Cu2'
_cell_length_a 2.7111
_cell_length_b 4.9977
_cell_length_c 18.4413
_cell_angle_alpha 90.00
_cell_angle_beta 90.00
_cell_angle_gamma 90.00
_space_group_name_H-M_alt 'P m m m'
_space_group_IT_number 47
_space_group_name_Hall '-P 2 2'
loop_
_atom_site_label
_atom_site_type_symbol
_atom_site_fract_x
_atom_site_fract_y
_atom_site_fract_z
Li1 Li 0.0000 0.0000 0.0726
Li2 Li 0.0000 0.2473 0.5000
Li3 Li 0.5000 0.0000 0.2222
Li4 Li 0.5000 0.0000 0.3624
Li5 Li 0.5000 0.5000 0.1331
Li6 Li 0.5000 0.5000 0.3732
Zn1 Zn 0.0000 0.5000 0.0000
Cu1 Cu 0.0000 0.5000 0.2561



7.
# Li3Zn4Cu4 (PBE, relaxed)
# ΔH_f (0 K) in eV/atom: -0.128
# Energy above the most stable polymorph in this dataset in eV per atom: 0.0000
# E_tot in eV per cell: -28.63
# Calculated volume in Å³ per atom: 13.24
data_Li3Zn4Cu4
_chemical_formula_sum 'Li3 Zn4 Cu4'
_cell_length_a 2.6127
_cell_length_b 3.7932
_cell_length_c 14.8762
_cell_angle_alpha 97.23
_cell_angle_beta 95.00
_cell_angle_gamma 90.00
_space_group_name_H-M_alt 'P -1'
_space_group_IT_number 2
_space_group_name_Hall '-P 1'
loop_
_atom_site_label
_atom_site_type_symbol
_atom_site_fract_x
_atom_site_fract_y
_atom_site_fract_z
Li1 Li 0.0000 0.0000 0.0000
Li2 Li 0.3563 0.3622 0.7247
Zn1 Zn 0.1879 0.1848 0.3687
Zn2 Zn 0.4456 0.4512 0.9015
Cu1 Cu 0.0987 0.0906 0.1828
Cu2 Cu 0.2714 0.2725 0.5451



8.
# Li3Zn9Cu2 (PBE, relaxed)
# ΔH_f (0 K) in eV/atom: -0.094
# E_tot in eV per cell: -53.44
# Calculated volume in Å³ per atom: 15.32
data_Li3Zn9Cu2
_chemical_formula_sum 'Li6 Zn18 Cu4'
_cell_length_a 4.1727
_cell_length_b 9.7519
_cell_length_c 10.5416
_cell_angle_alpha 90.00
_cell_angle_beta 90.00
_cell_angle_gamma 90.00
_space_group_name_H-M_alt 'I m m m'
_space_group_IT_number 71
_space_group_name_Hall '-I 2 2'
loop_
_atom_site_label
_atom_site_type_symbol
_atom_site_fract_x
_atom_site_fract_y
_atom_site_fract_z
Li1 Li 0.0000 0.0000 0.0000
Li2 Li 0.0000 0.0000 0.2793
Zn1 Zn 0.0000 0.2776 0.1418
Zn2 Zn 0.0000 0.3722 0.3736
Zn3 Zn 0.0000 0.5000 0.0000
Cu1 Cu 0.0000 0.1427 0.5000



9.
# Li16Zn12Cu (PBE, relaxed)
# ΔH_f (0 K) in eV/atom: -0.152
# E_tot in eV per cell: -108.83
# Calculated volume in Å³ per atom: 15.75
data_Li16Zn12Cu
_chemical_formula_sum 'Li32 Zn24 Cu2'
_cell_length_a 9.7025
_cell_length_b 13.9515
_cell_length_c 8.1470
_cell_angle_alpha 90.00
_cell_angle_beta 124.07
_cell_angle_gamma 90.00
_space_group_name_H-M_alt 'C 1 m 1'
_space_group_IT_number 8
_space_group_name_Hall 'C -2y'
loop_
_atom_site_label
_atom_site_type_symbol
_atom_site_fract_x
_atom_site_fract_y
_atom_site_fract_z
Li1 Li 0.0000 0.0000 0.0000
Li2 Li 0.0035 0.0000 0.6346
Li3 Li 0.0719 0.3465 0.0425
Li4 Li 0.1521 0.5000 0.2783
Li5 Li 0.1653 0.1606 0.2263
Li6 Li 0.1795 0.1746 0.6263
Li7 Li 0.2965 0.2940 0.9472
Li8 Li 0.4151 0.0000 0.3634
Li9 Li 0.4622 0.1374 0.6448
Li10 Li 0.4881 0.2036 0.3245
Zn1 Zn 0.0080 0.1845 0.8249
Zn2 Zn 0.1851 0.0000 0.4467
Zn3 Zn 0.2289 0.4098 0.6493
Zn4 Zn 0.2797 0.0923 0.0016
Zn5 Zn 0.3199 0.3165 0.4487
Zn6 Zn 0.3907 0.0000 0.8212
Zn7 Zn 0.4013 0.4079 0.2460
Cu1 Cu 0.1883 0.5000 0.9106



10.
# Li4Zn5Cu (PBE, relaxed)
# ΔH_f (0 K) in eV/atom: -0.079
# Energy above the most stable polymorph in this dataset in eV per atom: 0.0689
# E_tot in eV per cell: -37.83
# Calculated volume in Å³ per atom: 16.87
data_Li4Zn5Cu
_chemical_formula_sum 'Li8 Zn10 Cu2'
_cell_length_a 8.4631
_cell_length_b 8.4631
_cell_length_c 4.7110
_cell_angle_alpha 90.00
_cell_angle_beta 90.00
_cell_angle_gamma 90.00
_space_group_name_H-M_alt 'I 4 m m'
_space_group_IT_number 107
_space_group_name_Hall 'I 4 -2'
loop_
_atom_site_label
_atom_site_type_symbol
_atom_site_fract_x
_atom_site_fract_y
_atom_site_fract_z
Li1 Li 0.0000 0.2927 0.0000
Zn1 Zn 0.0000 0.0000 0.2401
Zn2 Zn 0.1888 0.1888 0.5182
Cu1 Cu 0.0000 0.0000 0.7505



11.
# Li2ZnCu (PBE, relaxed)
# ΔH_f (0 K) in eV/atom: -0.077
# E_tot in eV per cell: -9.51
# Calculated volume in Å³ per atom: 14.00
data_Li2ZnCu
_chemical_formula_sum 'Li2 Zn1 Cu1'
_cell_length_a 2.6542
_cell_length_b 2.6542
_cell_length_c 7.9477
_cell_angle_alpha 90.00
_cell_angle_beta 90.00
_cell_angle_gamma 90.00
_space_group_name_H-M_alt 'P 4/m m m'
_space_group_IT_number 123
_space_group_name_Hall '-P 4 2'
loop_
_atom_site_label
_atom_site_type_symbol
_atom_site_fract_x
_atom_site_fract_y
_atom_site_fract_z
Li1 Li 0.0000 0.0000 0.2366
Zn1 Zn 0.5000 0.5000 0.5000
Cu1 Cu 0.5000 0.5000 0.0000



12.
# Li3Zn4Cu4 (PBE, relaxed)
# ΔH_f (0 K) in eV/atom: -0.010
# Energy above the most stable polymorph in this dataset in eV per atom: 0.1177
# E_tot in eV per cell: -54.67
# Calculated volume in Å³ per atom: 15.44
data_Li3Zn4Cu4
_chemical_formula_sum 'Li6 Zn8 Cu8'
_cell_length_a 3.6298
_cell_length_b 7.2623
_cell_length_c 12.8832
_cell_angle_alpha 90.00
_cell_angle_beta 90.00
_cell_angle_gamma 90.00
_space_group_name_H-M_alt 'I m m m'
_space_group_IT_number 71
_space_group_name_Hall '-I 2 2'
loop_
_atom_site_label
_atom_site_type_symbol
_atom_site_fract_x
_atom_site_fract_y
_atom_site_fract_z
Li1 Li 0.0000 0.0000 0.0000
Li2 Li 0.0000 0.5000 0.1179
Zn1 Zn 0.0000 0.3080 0.3304
Cu1 Cu 0.0000 0.0000 0.2408
Cu2 Cu 0.0000 0.1668 0.5000



13.
# LiZn6Cu (PBE, relaxed)
# ΔH_f (0 K) in eV/atom: 0.056
# Energy above the most stable polymorph in this dataset in eV per atom: 0.1588
# E_tot in eV per cell: -39.62
# Calculated volume in Å³ per atom: 16.98
data_LiZn6Cu
_chemical_formula_sum 'Li3 Zn18 Cu3'
_cell_length_a 6.7641
_cell_length_b 6.7641
_cell_length_c 10.2863
_cell_angle_alpha 90.00
_cell_angle_beta 90.00
_cell_angle_gamma 120.00
_space_group_name_H-M_alt 'R -3 m'
_space_group_IT_number 166
_space_group_name_Hall '-R 3 2"'
loop_
_atom_site_label
_atom_site_type_symbol
_atom_site_fract_x
_atom_site_fract_y
_atom_site_fract_z
Li1 Li 0.0000 0.0000 0.0000
Zn1 Zn 0.0820 0.5410 0.8860
Cu1 Cu 0.0000 0.0000 0.5000



14.
# LiZnCu5 (PBE, relaxed)
# ΔH_f (0 K) in eV/atom: 0.045
# Energy above the most stable polymorph in this dataset in eV per atom: 0.0000
# E_tot in eV per cell: -46.70
# Calculated volume in Å³ per atom: 13.47
data_LiZnCu5
_chemical_formula_sum 'Li2 Zn2 Cu10'
_cell_length_a 5.0231
_cell_length_b 7.4624
_cell_length_c 5.0302
_cell_angle_alpha 90.00
_cell_angle_beta 90.00
_cell_angle_gamma 90.00
_space_group_name_H-M_alt 'C m m m'
_space_group_IT_number 65
_space_group_name_Hall '-C 2 2'
loop_
_atom_site_label
_atom_site_type_symbol
_atom_site_fract_x
_atom_site_fract_y
_atom_site_fract_z
Li1 Li 0.0000 0.0000 0.0000
Zn1 Zn 0.0000 0.5000 0.5000
Cu1 Cu 0.0000 0.5000 0.0000
Cu2 Cu 0.2500 0.2500 0.2520



15.
# LiZn2Cu4 (PBE, relaxed)
# ΔH_f (0 K) in eV/atom: -0.007
# Energy above the most stable polymorph in this dataset in eV per atom: 0.0250
# E_tot in eV per cell: -41.79
# Calculated volume in Å³ per atom: 13.23
data_LiZn2Cu4
_chemical_formula_sum 'Li2 Zn4 Cu8'
_cell_length_a 6.5440
_cell_length_b 11.0838
_cell_length_c 2.5538
_cell_angle_alpha 90.00
_cell_angle_beta 90.00
_cell_angle_gamma 90.00
_space_group_name_H-M_alt 'P b a m'
_space_group_IT_number 55
_space_group_name_Hall '-P 2 2ab'
loop_
_atom_site_label
_atom_site_type_symbol
_atom_site_fract_x
_atom_site_fract_y
_atom_site_fract_z
Li1 Li 0.0000 0.0000 0.0000
Zn1 Zn 0.1861 0.3892 0.5000
Cu1 Cu 0.0102 0.7785 0.0000
Cu2 Cu 0.2128 0.6208 0.5000



16.
# Li4Zn3Cu4 (PBE, relaxed)
# ΔH_f (0 K) in eV/atom: -0.079
# Energy above the most stable polymorph in this dataset in eV per atom: 0.0320
# E_tot in eV per cell: -57.45
# Calculated volume in Å³ per atom: 14.37
data_Li4Zn3Cu4
_chemical_formula_sum 'Li8 Zn6 Cu8'
_cell_length_a 2.6086
_cell_length_b 7.7580
_cell_length_c 15.6251
_cell_angle_alpha 90.00
_cell_angle_beta 90.00
_cell_angle_gamma 90.00
_space_group_name_H-M_alt 'I m m m'
_space_group_IT_number 71
_space_group_name_Hall '-I 2 2'
loop_
_atom_site_label
_atom_site_type_symbol
_atom_site_fract_x
_atom_site_fract_y
_atom_site_fract_z
Li1 Li 0.0000 0.1906 0.1577
Zn1 Zn 0.0000 0.0000 0.4094
Zn2 Zn 0.0000 0.5000 0.5000
Cu1 Cu 0.0000 0.2787 0.0000
Cu2 Cu 0.0000 0.5000 0.2289



17.
# LiZn8Cu2 (PBE, relaxed)
# ΔH_f (0 K) in eV/atom: 0.006
# Energy above the most stable polymorph in this dataset in eV per atom: 0.0752
# E_tot in eV per cell: -40.47
# Calculated volume in Å³ per atom: 15.10
data_LiZn8Cu2
_chemical_formula_sum 'Li2 Zn16 Cu4'
_cell_length_a 6.5999
_cell_length_b 11.6504
_cell_length_c 4.6572
_cell_angle_alpha 90.00
_cell_angle_beta 111.95
_cell_angle_gamma 90.00
_space_group_name_H-M_alt 'C 1 2/m 1'
_space_group_IT_number 12
_space_group_name_Hall '-C 2y'
loop_
_atom_site_label
_atom_site_type_symbol
_atom_site_fract_x
_atom_site_fract_y
_atom_site_fract_z
Li1 Li 0.0000 0.0000 0.0000
Zn1 Zn 0.0000 0.2283 0.0000
Zn2 Zn 0.0874 0.5000 0.7877
Zn3 Zn 0.2062 0.1122 0.6655
Cu1 Cu 0.0000 0.3018 0.5000



18.
# LiZn6Cu2 (PBE, relaxed)
# ΔH_f (0 K) in eV/atom: -0.084
# Energy above the most stable polymorph in this dataset in eV per atom: 0.0000
# E_tot in eV per cell: -18.51
# Calculated volume in Å³ per atom: 13.67
data_LiZn6Cu2
_chemical_formula_sum 'Li1 Zn6 Cu2'
_cell_length_a 4.2486
_cell_length_b 4.2486
_cell_length_c 7.8738
_cell_angle_alpha 90.00
_cell_angle_beta 90.00
_cell_angle_gamma 120.00
_space_group_name_H-M_alt 'P -3 m 1'
_space_group_IT_number 164
_space_group_name_Hall '-P 3 2"'
loop_
_atom_site_label
_atom_site_type_symbol
_atom_site_fract_x
_atom_site_fract_y
_atom_site_fract_z
Li1 Li 0.0000 0.0000 0.0000
Zn1 Zn 0.0000 0.0000 0.3212
Zn2 Zn 0.3333 0.6667 0.5588
Zn3 Zn 0.3333 0.6667 0.8947
Cu1 Cu 0.3333 0.6667 0.2205



19.
# Li2Zn2Cu (PBE, relaxed)
# ΔH_f (0 K) in eV/atom: -0.175
# Energy above the most stable polymorph in this dataset in eV per atom: 0.0000
# E_tot in eV per cell: -22.69
# Calculated volume in Å³ per atom: 13.70
data_Li2Zn2Cu
_chemical_formula_sum 'Li4 Zn4 Cu2'
_cell_length_a 7.3550
_cell_length_b 4.2347
_cell_length_c 5.0464
_cell_angle_alpha 90.00
_cell_angle_beta 119.31
_cell_angle_gamma 90.00
_space_group_name_H-M_alt 'C 1 2/m 1'
_space_group_IT_number 12
_space_group_name_Hall '-C 2y'
loop_
_atom_site_label
_atom_site_type_symbol
_atom_site_fract_x
_atom_site_fract_y
_atom_site_fract_z
Li1 Li 0.1995 0.0000 0.0980
Zn1 Zn 0.1042 0.5000 0.3116
Cu1 Cu 0.0000 0.0000 0.5000



20.
# LiZn6Cu3 (PBE, relaxed)
# ΔH_f (0 K) in eV/atom: -0.098
# E_tot in eV per cell: -45.66
# Calculated volume in Å³ per atom: 13.62
data_LiZn6Cu3
_chemical_formula_sum 'Li2 Zn12 Cu6'
_cell_length_a 7.2369
_cell_length_b 4.3138
_cell_length_c 9.4142
_cell_angle_alpha 90.00
_cell_angle_beta 112.02
_cell_angle_gamma 90.00
_space_group_name_H-M_alt 'P 1 21/m 1'
_space_group_IT_number 11
_space_group_name_Hall '-P 2yb'
loop_
_atom_site_label
_atom_site_type_symbol
_atom_site_fract_x
_atom_site_fract_y
_atom_site_fract_z
Li1 Li 0.1111 0.2500 0.0726
Zn1 Zn 0.0917 0.7500 0.2387
Zn2 Zn 0.1044 0.2500 0.5687
Zn3 Zn 0.2978 0.7500 0.0235
Zn4 Zn 0.3102 0.2500 0.3785
Zn5 Zn 0.4851 0.7500 0.8326
Zn6 Zn 0.4907 0.7500 0.3229
Cu1 Cu 0.0905 0.7500 0.7321
Cu2 Cu 0.2938 0.2500 0.8677
Cu3 Cu 0.2964 0.7500 0.5406



21.
# LiZn2Cu3 (PBE, relaxed)
# ΔH_f (0 K) in eV/atom: -0.096
# Energy above the most stable polymorph in this dataset in eV per atom: 0.0000
# E_tot in eV per cell: -34.66
# Calculated volume in Å³ per atom: 12.80
data_LiZn2Cu3
_chemical_formula_sum 'Li2 Zn4 Cu6'
_cell_length_a 3.8009
_cell_length_b 10.7398
_cell_length_c 3.7629
_cell_angle_alpha 90.00
_cell_angle_beta 90.00
_cell_angle_gamma 90.00
_space_group_name_H-M_alt 'C m m m'
_space_group_IT_number 65
_space_group_name_Hall '-C 2 2'
loop_
_atom_site_label
_atom_site_type_symbol
_atom_site_fract_x
_atom_site_fract_y
_atom_site_fract_z
Li1 Li 0.0000 0.0000 0.0000
Zn1 Zn 0.0000 0.3370 0.0000
Cu1 Cu 0.0000 0.1669 0.5000
Cu2 Cu 0.0000 0.5000 0.5000